No. 1
# LiCaTmAl (PBE, relaxed)
data_LiCaTmAl
_cell_length_a 7.3685
_cell_length_b 7.3685
_cell_length_c 7.3685
_cell_angle_alpha 90.00
_cell_angle_beta 90.00
_cell_angle_gamma 90.00
_symmetry_space_group_name_H-M 'F -4 3 m'
_symmetry_Int_Tables_number 216
_symmetry_space_group_name_Hall 'F -4 2 3'
loop_
_atom_site_label
_atom_site_fract_x
_atom_site_fract_y
_atom_site_fract_z
_atom_site_occupancy
Li1 0.0000 0.0000 0.0000 1
Ca1 0.2500 0.2500 0.7500 1
Tm1 0.2500 0.2500 0.2500 1
Al1 0.0000 0.0000 0.5000 1
# **Magnetic moment**: 0.000 μB/cell
# **ΔH_f (0 K)**: -137 meV per atom
# **DOS(E_F)**: 12.29 states/eV per cell

No. 2
# Li3Ca2AlZn12 (PBE, relaxed)
data_Li3Ca2AlZn12
_cell_length_a 6.2983
_cell_length_b 6.2983
_cell_length_c 30.1828
_cell_angle_alpha 90.00
_cell_angle_beta 90.00
_cell_angle_gamma 120.00
_symmetry_space_group_name_H-M 'R -3 m'
_symmetry_Int_Tables_number 166
_symmetry_space_group_name_Hall '-R 3 2"'
loop_
_atom_site_label
_atom_site_fract_x
_atom_site_fract_y
_atom_site_fract_z
_atom_site_occupancy
Li1 0.0000 0.5000 0.0000 1
Ca1 0.0000 0.0000 0.1445 1
Al1 0.0000 0.0000 0.5000 1
Zn1 0.0118 0.5059 0.1002 1
Zn2 0.0670 0.5335 0.6164 1
# **Magnetic moment**: 0.000 μB/cell
# **ΔH_f (0 K)**: -14 meV per atom
# **DOS(E_F)**: 24.36 states/eV per cell